{"formula": "CaNiOs2", "functional": "GGA-PBE", "state": "optimized geometry", "total_magnetization_mub_per_cell": 0.00, "e_form_ev_per_fu": 2.5, "rho_g_cm3": 12.90, "spacegroup": "No. 166", "lattice": [[1.3905, 0.8028, 9.2096], [-1.3905, 0.8028, 9.2096], [0.0000, -1.6056, 9.2096]], "species": ["Ca", "Ni", "Os", "Os"], "frac_coords": [[0.0000, 0.0000, 0.0000], [0.5000, 0.5000, 0.5000], [0.2399, 0.2399, 0.2399], [0.7601, 0.7601, 0.7601]]}